{
  "formula": "CoTe2Ir",
  "functional": "GGA-PBE",
  "state": "relaxed",
  "cell": [[-2.443, 1.232, 1.770], [0.457, -2.344, 2.262], [4.866, 1.723, 5.516]],
  "species": ["Co", "Ir", "Te", "Te"],
  "frac_coords": [[0.500, 0.250, 0.250], [0.500, 0.750, 0.750], [0.000, 0.010, 0.008], [0.000, 0.490, 0.492]],
  "dos_at_fermi_per_ev_cell": 5.42,
  "polymorph_energy_ev_per_atom": 0.4520,
  "m_tot_mub_per_fu": 1.02,
  "e_form_raw_ev_per_atom": 0.48
}